No. 1
Here is a geometry-optimized ScSe structure from Alexandria. Energies are from PBE.

Properties
Total energy, eV/atom: -6.005
E_form (uncorrected), eV/atom: -1.0973

Cell lengths 3.9014, 3.9014, 9.1381 Å; angles 90.00, 90.00, 120.00 degrees
Fractional coordinates of all 4 atoms:
Sc: 0.3333 0.6667 0.1547
Sc: 0.6667 0.3333 0.8453
Se: 0.3333 0.6667 0.7073
Se: 0.6667 0.3333 0.2927

=====

No. 2
Here is a geometry-optimized Sc2Se3 structure from Alexandria. Energies are from PBE.

Properties
Total energy, eV/atom: -6.236
E_form (uncorrected), eV/atom: -1.6125

Cell lengths 7.0628, 6.8374, 8.1775 Å; angles 55.25, 52.70, 72.05 degrees
Fractional coordinates of all 10 atoms:
Sc: 0.3145 0.6855 0.4079
Sc: 0.6579 0.8421 0.5645
Sc: 0.6855 0.3145 0.5921
Sc: 0.8421 0.6579 0.9355
Se: 0.0379 0.0379 0.4621
Se: 0.2908 0.5305 0.8098
Se: 0.4402 0.8810 0.9592
Se: 0.5305 0.2908 0.3690
Se: 0.7879 0.7879 0.2121
Se: 0.8810 0.4402 0.7195